(1)
Entry from Alexandria: Nb2GeBrF after structural relaxation (PBE-GGA).

Its volume is 110.4 Å³ per cell. The energy relative to the elements, uncorrected comes out at 0.430 eV/atom.

Cell lengths 5.162, 4.144, 5.162 Å; angles 90.00, 90.00, 90.00 degrees
Atoms (fractional coordinates):
Nb: 0.000 0.000 0.500
Ge: 0.000 0.000 0.000
F: 0.000 0.500 0.000
Br: 0.500 0.500 0.500
Nb: 0.500 0.000 0.000

=====

(2)
Entry from Alexandria: GeBrOF2 after structural relaxation (PBE-GGA).

Its volume is 67.6 Å³ per cell. The energy relative to the elements, uncorrected comes out at -0.875 eV/atom. The energy relative to the lowest polymorph listed for this composition is 0.0 meV per atom.

Cell lengths 4.292, 3.669, 4.292 Å; angles 90.00, 90.00, 90.00 degrees
Atoms (fractional coordinates):
Br: 0.500 0.500 0.500
O: 0.000 0.500 0.000
Ge: 0.000 0.000 0.000
F: 0.500 0.000 0.000
F: 0.000 0.000 0.500

=====

(3)
Entry from Alexandria: GeBrOF2 after structural relaxation (PBE-GGA).

Its volume is 89.6 Å³ per cell. The energy relative to the elements, uncorrected comes out at -0.066 eV/atom. The energy relative to the lowest polymorph listed for this composition is 808.2 meV per atom.

Cell lengths 4.943, 4.943, 3.669 Å; angles 90.00, 90.00, 90.00 degrees
Atoms (fractional coordinates):
F: 0.500 0.000 0.000
Ge: 0.500 0.500 0.500
O: 0.000 0.000 0.500
Br: 0.000 0.000 0.000
F: 0.000 0.500 0.000

=====

(4)
Entry from Alexandria: GeOsBrF2 after structural relaxation (PBE-GGA).

Its volume is 89.1 Å³ per cell. The energy relative to the elements, uncorrected comes out at -0.044 eV/atom.

Cell lengths 4.174, 5.114, 4.174 Å; angles 90.00, 90.00, 90.00 degrees
Atoms (fractional coordinates):
F: 0.500 0.000 0.000
Br: 0.000 0.500 0.000
Ge: 0.500 0.500 0.500
Os: 0.000 0.000 0.000
F: 0.000 0.000 0.500